The following is a DFT calculation (PBE) of PrHgGe after structural relaxation.

Lattice parameters (Å, degrees): 4.882 4.882 4.882 60.00 60.00 60.00
Atoms (fractional coordinates):
Ge1 0.000 0.000 0.000
Hg1 0.250 0.250 0.250
Pr1 0.750 0.750 0.750

Computed properties:
Crystal system: cubic
Total magnetic moment, Bohr magnetons per cell: 0.0
Theoretical density, g cm⁻³: 8.4
Electronic total energy, eV per atom: -3.610


The following is a DFT calculation (PBE) of BePdPt2 after structural relaxation.

Lattice parameters (Å, degrees): 4.326 4.326 4.326 60.00 60.00 60.00
Atoms (fractional coordinates):
Be1 0.500 0.500 0.500
Pd1 0.250 0.250 0.250
Pt1 0.000 0.000 0.000
Pt2 0.750 0.750 0.750

Computed properties:
Crystal system: cubic
Total magnetic moment, Bohr magnetons per cell: 0.0
Theoretical density, g cm⁻³: 14.7
Electronic total energy, eV per atom: -5.372


The following is a DFT calculation (PBE) of CoGeOsPt after structural relaxation.

Lattice parameters (Å, degrees): 4.313 4.313 4.313 60.00 60.00 60.00
Atoms (fractional coordinates):
Co1 0.750 0.750 0.750
Ge1 0.000 0.000 0.000
Os1 0.250 0.250 0.250
Pt1 0.500 0.500 0.500

Computed properties:
Crystal system: cubic
Total magnetic moment, Bohr magnetons per cell: 2.1
Theoretical density, g cm⁻³: 15.1
Electronic total energy, eV per atom: -7.046
Energy above the most stable polymorph in this dataset, meV/atom: 0


The following is a DFT calculation (PBE) of ReGe8 after structural relaxation.

Lattice parameters (Å, degrees): 8.518 8.518 2.954 90.00 90.00 120.00
Atoms (fractional coordinates):
Ge1 0.324 0.162 0.000
Ge2 0.838 0.162 0.000
Ge3 0.162 0.324 0.000
Ge4 0.667 0.333 0.000
Ge5 0.333 0.667 0.000
Ge6 0.838 0.676 0.000
Ge7 0.162 0.838 0.000
Ge8 0.676 0.838 0.000
Re1 0.000 0.000 0.500

Computed properties:
Crystal system: hexagonal
Total magnetic moment, Bohr magnetons per cell: 0.0
Theoretical density, g cm⁻³: 6.9
Electronic total energy, eV per atom: -5.004


The following is a DFT calculation (PBE) of HoAlGaTe3 after structural relaxation.

Lattice parameters (Å, degrees): 7.573 7.573 11.346 90.00 90.00 146.97
Atoms (fractional coordinates):
Al1 0.468 0.532 0.250
Al2 0.532 0.468 0.750
Ga1 0.782 0.218 0.250
Ga2 0.218 0.782 0.750
Ho1 0.000 0.000 0.000
Ho2 0.000 0.000 0.500
Te1 0.356 0.644 0.062
Te2 0.090 0.910 0.250
Te3 0.356 0.644 0.438
Te4 0.644 0.356 0.562
Te5 0.910 0.090 0.750
Te6 0.644 0.356 0.938

Computed properties:
Crystal system: orthorhombic
Total magnetic moment, Bohr magnetons per cell: 0.0
Theoretical density, g cm⁻³: 6.0
Electronic total energy, eV per atom: -4.067


The following is a DFT calculation (PBE) of LiGa2AgTe4 after structural relaxation.

Lattice parameters (Å, degrees): 7.559 7.559 7.559 130.00 130.00 73.41
Atoms (fractional coordinates):
Ag1 0.000 0.000 0.000
Ga1 0.500 0.500 0.000
Ga2 0.750 0.250 0.500
Li1 0.250 0.750 0.500
Te1 0.620 0.138 0.012
Te2 0.862 0.874 0.482
Te3 0.392 0.380 0.518
Te4 0.126 0.608 0.988

Computed properties:
Crystal system: tetragonal
Theoretical density, g cm⁻³: 5.1
Electronic total energy, eV per atom: -3.380


The following is a DFT calculation (PBE) of AgAsClO2 after structural relaxation.

Lattice parameters (Å, degrees): 6.159 3.958 7.107 90.00 105.88 90.00
Atoms (fractional coordinates):
Ag1 0.260 0.750 0.017
Ag2 0.740 0.250 0.983
As1 0.637 0.250 0.408
As2 0.363 0.750 0.592
Cl1 0.988 0.750 0.223
Cl2 0.012 0.250 0.777
O1 0.480 0.250 0.159
O2 0.581 0.750 0.455
O3 0.419 0.250 0.545
O4 0.520 0.750 0.841

Computed properties:
Crystal system: monoclinic
Theoretical density, g cm⁻³: 5.0
Electronic total energy, eV per atom: -4.490


The following is a DFT calculation (PBE) of SrHfBePd after structural relaxation.

Lattice parameters (Å, degrees): 4.744 4.744 4.744 60.00 60.00 60.00
Atoms (fractional coordinates):
Be1 0.750 0.750 0.750
Hf1 0.000 0.000 0.000
Pd1 0.500 0.500 0.500
Sr1 0.250 0.250 0.250

Computed properties:
Crystal system: cubic
Total magnetic moment, Bohr magnetons per cell: 0.0
Theoretical density, g cm⁻³: 8.4
Electronic total energy, eV per atom: -4.665
Energy above the most stable polymorph in this dataset, meV/atom: 303


The following is a DFT calculation (PBE) of SmAgGeTeSe2 after structural relaxation.

Lattice parameters (Å, degrees): 7.147 7.147 11.339 90.00 90.00 146.85
Atoms (fractional coordinates):
Ag1 0.979 0.021 0.250
Ag2 0.021 0.979 0.750
Ge1 0.293 0.707 0.250
Ge2 0.707 0.293 0.750
Se1 0.857 0.143 0.071
Se2 0.857 0.143 0.429
Se3 0.143 0.857 0.571
Se4 0.143 0.857 0.929
Sm1 0.500 0.500 0.000
Sm2 0.500 0.500 0.500
Te1 0.621 0.379 0.250
Te2 0.379 0.621 0.750

Computed properties:
Crystal system: orthorhombic
Total magnetic moment, Bohr magnetons per cell: 0.0
Theoretical density, g cm⁻³: 6.5
Electronic total energy, eV per atom: -4.412


The following is a DFT calculation (PBE) of TbDyNi2I2 after structural relaxation.

Lattice parameters (Å, degrees): 4.065 4.065 11.965 90.00 90.00 120.00
Atoms (fractional coordinates):
Dy1 0.000 0.000 0.151
I1 0.667 0.333 0.330
I2 0.333 0.667 0.669
Ni1 0.333 0.667 0.006
Ni2 0.667 0.333 0.994
Tb1 0.000 0.000 0.849

Computed properties:
Crystal system: trigonal
Total magnetic moment, Bohr magnetons per cell: 0.2
Theoretical density, g cm⁻³: 6.7
Electronic total energy, eV per atom: -4.799


The following is a DFT calculation (PBE) of Zr4ZnInN2 after structural relaxation.

Lattice parameters (Å, degrees): 3.302 3.302 14.410 90.00 90.00 120.00
Atoms (fractional coordinates):
In1 0.000 0.000 0.000
N1 0.667 0.333 0.259
N2 0.667 0.333 0.741
Zn1 0.333 0.667 0.500
Zr1 0.333 0.667 0.172
Zr2 0.000 0.000 0.345
Zr3 0.000 0.000 0.655
Zr4 0.333 0.667 0.828

Computed properties:
Crystal system: hexagonal
Total magnetic moment, Bohr magnetons per cell: 0.0
Theoretical density, g cm⁻³: 7.0
Electronic total energy, eV per atom: -7.868


The following is a DFT calculation (PBE) of ErScZn after structural relaxation.

Lattice parameters (Å, degrees): 4.785 4.785 4.785 60.00 60.00 60.00
Atoms (fractional coordinates):
Er1 0.000 0.000 0.000
Sc1 0.250 0.250 0.250
Zn1 0.750 0.750 0.750

Computed properties:
ΔH_f (0 K), eV per atom: 0.621
Crystal system: cubic
Total magnetic moment, Bohr magnetons per cell: 0.0
Theoretical density, g cm⁻³: 5.9
Electronic total energy, eV per atom: -3.431
Energy above the most stable polymorph in this dataset, meV/atom: 590


The following is a DFT calculation (PBE) of YErSnC after structural relaxation.

Lattice parameters (Å, degrees): 3.608 3.608 15.779 90.00 90.00 120.00
Atoms (fractional coordinates):
C1 0.000 0.000 0.252
C2 0.000 0.000 0.748
Er1 0.333 0.667 0.334
Er2 0.333 0.667 0.666
Sn1 0.333 0.667 0.000
Sn2 0.667 0.333 0.500
Y1 0.667 0.333 0.165
Y2 0.667 0.333 0.835

Computed properties:
Crystal system: hexagonal
Total magnetic moment, Bohr magnetons per cell: 0.1
Theoretical density, g cm⁻³: 7.2
Electronic total energy, eV per atom: -6.628


The following is a DFT calculation (PBE) of ZrAlCuTc after structural relaxation.

Lattice parameters (Å, degrees): 4.507 4.507 4.507 60.00 60.00 60.00
Atoms (fractional coordinates):
Al1 0.000 0.000 0.000
Cu1 0.750 0.750 0.750
Tc1 0.500 0.500 0.500
Zr1 0.250 0.250 0.250

Computed properties:
Crystal system: cubic
Total magnetic moment, Bohr magnetons per cell: 0.0
Theoretical density, g cm⁻³: 7.2
Electronic total energy, eV per atom: -6.514
Energy above the most stable polymorph in this dataset, meV/atom: 320


The following is a DFT calculation (PBE) of Nd3Tm3NiTe2 after structural relaxation.

Lattice parameters (Å, degrees): 8.432 8.432 4.017 90.00 90.00 120.00
Atoms (fractional coordinates):
Nd1 0.404 0.000 0.000
Nd2 0.000 0.404 0.000
Nd3 0.596 0.596 0.000
Ni1 0.000 0.000 0.000
Te1 0.667 0.333 0.500
Te2 0.333 0.667 0.500
Tm1 0.768 0.000 0.500
Tm2 0.232 0.232 0.500
Tm3 0.000 0.768 0.500

Computed properties:
Crystal system: hexagonal
Total magnetic moment, Bohr magnetons per cell: 0.0
Theoretical density, g cm⁻³: 8.4
Electronic total energy, eV per atom: -5.146
Energy above the most stable polymorph in this dataset, meV/atom: 0


The following is a DFT calculation (PBE) of SmZr2 after structural relaxation.

Lattice parameters (Å, degrees): 17.460 3.310 5.386 90.00 90.00 90.00
Atoms (fractional coordinates):
Sm1 0.336 0.000 0.000
Sm2 0.836 0.500 0.000
Sm3 0.109 0.000 0.500
Sm4 0.609 0.500 0.500
Zr1 0.005 0.000 0.000
Zr2 0.669 0.000 0.000
Zr3 0.169 0.500 0.000
Zr4 0.505 0.500 0.000
Zr5 0.439 0.000 0.500
Zr6 0.776 0.000 0.500
Zr7 0.275 0.500 0.500
Zr8 0.939 0.500 0.500

Computed properties:
ΔH_f (0 K), eV per atom: 0.135
Crystal system: orthorhombic
Total magnetic moment, Bohr magnetons per cell: 0.0
Theoretical density, g cm⁻³: 7.1
Electronic total energy, eV per atom: -7.134
Energy above the most stable polymorph in this dataset, meV/atom: 62


The following is a DFT calculation (PBE) of Rb2NiPd2S4 after structural relaxation.

Lattice parameters (Å, degrees): 8.575 7.544 6.055 77.33 59.13 43.54
Atoms (fractional coordinates):
Ni1 0.500 0.500 0.500
Pd1 0.500 0.500 0.000
Pd2 0.000 0.000 0.500
Rb1 0.842 0.842 0.158
Rb2 0.158 0.158 0.842
S1 0.451 0.767 0.233
S2 0.233 0.549 0.451
S3 0.767 0.451 0.549
S4 0.549 0.233 0.767

Computed properties:
Crystal system: orthorhombic
Total magnetic moment, Bohr magnetons per cell: 0.0
Theoretical density, g cm⁻³: 4.2
Electronic total energy, eV per atom: -4.553


The following is a DFT calculation (PBE) of NdSi2TcAg after structural relaxation.

Lattice parameters (Å, degrees): 5.983 5.983 5.983 139.17 139.17 59.11
Atoms (fractional coordinates):
Ag1 0.250 0.750 0.500
Nd1 0.000 0.000 0.000
Si1 0.382 0.382 0.000
Si2 0.618 0.618 0.000
Tc1 0.750 0.250 0.500

Computed properties:
Crystal system: tetragonal
Total magnetic moment, Bohr magnetons per cell: 0.0
Theoretical density, g cm⁻³: 7.4
Electronic total energy, eV per atom: -6.190


The following is a DFT calculation (PBE) of Sc2Al3Mo4C3 after structural relaxation.

Lattice parameters (Å, degrees): 5.407 5.407 13.895 90.58 100.68 119.83
Atoms (fractional coordinates):
Al1 0.836 0.102 0.249
Al2 0.321 0.071 0.250
Al3 0.354 0.587 0.251
Al4 0.646 0.413 0.749
Al5 0.679 0.929 0.750
Al6 0.164 0.898 0.751
C1 0.333 0.165 0.000
C2 0.000 0.500 0.000
C3 0.667 0.835 0.000
C4 0.665 0.333 0.500
C5 0.000 0.000 0.500
C6 0.335 0.667 0.500
Mo1 0.385 0.851 0.079
Mo2 0.063 0.204 0.079
Mo3 0.625 0.983 0.421
Mo4 0.272 0.306 0.421
Mo5 0.728 0.694 0.579
Mo6 0.375 0.017 0.579
Mo7 0.937 0.796 0.921
Mo8 0.615 0.149 0.921
Sc1 0.733 0.539 0.110
Sc2 0.929 0.624 0.390
Sc3 0.071 0.376 0.610
Sc4 0.267 0.461 0.890

Computed properties:
Crystal system: monoclinic
Total magnetic moment, Bohr magnetons per cell: 0.0
Theoretical density, g cm⁻³: 5.7
Electronic total energy, eV per atom: -8.325


The following is a DFT calculation (PBE) of RbDyCdSe3 after structural relaxation.

Lattice parameters (Å, degrees): 9.054 4.272 10.464 90.00 109.46 90.00
Atoms (fractional coordinates):
Cd1 0.083 0.250 0.114
Cd2 0.917 0.750 0.886
Dy1 0.324 0.750 0.369
Dy2 0.676 0.250 0.631
Rb1 0.770 0.750 0.251
Rb2 0.230 0.250 0.749
Se1 0.230 0.750 0.054
Se2 0.529 0.250 0.350
Se3 0.105 0.250 0.370
Se4 0.895 0.750 0.630
Se5 0.471 0.750 0.650
Se6 0.770 0.250 0.946

Computed properties:
Crystal system: monoclinic
Total magnetic moment, Bohr magnetons per cell: 0.0
Theoretical density, g cm⁻³: 5.2
Electronic total energy, eV per atom: -4.160


The following is a DFT calculation (PBE) of Nd2PtBr6 after structural relaxation.

Lattice parameters (Å, degrees): 11.044 7.391 7.228 90.00 100.23 90.00
Atoms (fractional coordinates):
Br1 0.297 0.793 0.010
Br2 0.054 0.310 0.078
Br3 0.380 0.285 0.119
Br4 0.620 0.785 0.381
Br5 0.946 0.810 0.422
Br6 0.703 0.293 0.490
Br7 0.297 0.707 0.510
Br8 0.054 0.190 0.578
Br9 0.380 0.215 0.619
Br10 0.620 0.715 0.881
Br11 0.946 0.690 0.922
Br12 0.703 0.207 0.990
Nd1 0.771 0.536 0.206
Nd2 0.229 0.036 0.294
Nd3 0.771 0.964 0.706
Nd4 0.229 0.464 0.794
Pt1 0.000 0.000 0.000
Pt2 0.000 0.500 0.500

Computed properties:
Crystal system: monoclinic
Total magnetic moment, Bohr magnetons per cell: 0.0
Theoretical density, g cm⁻³: 5.5
Electronic total energy, eV per atom: -4.211


The following is a DFT calculation (PBE) of YB2W after structural relaxation.

Lattice parameters (Å, degrees): 4.281 4.281 4.281 60.00 60.00 60.00
Atoms (fractional coordinates):
B1 0.000 0.000 0.000
B2 0.250 0.250 0.250
W1 0.750 0.750 0.750
Y1 0.500 0.500 0.500

Computed properties:
Crystal system: cubic
Total magnetic moment, Bohr magnetons per cell: 0.0
Theoretical density, g cm⁻³: 8.8
Electronic total energy, eV per atom: -6.510


The following is a DFT calculation (PBE) of Zn4AsNCl2 after structural relaxation.

Lattice parameters (Å, degrees): 6.685 6.685 6.685 131.42 131.42 71.15
Atoms (fractional coordinates):
As1 0.000 0.000 0.000
Cl1 0.500 0.500 0.000
Cl2 0.250 0.750 0.500
N1 0.750 0.250 0.500
Zn1 0.422 0.970 0.116
Zn2 0.030 0.146 0.453
Zn3 0.694 0.578 0.547
Zn4 0.854 0.306 0.884

Computed properties:
Crystal system: tetragonal
Theoretical density, g cm⁻³: 4.3
Electronic total energy, eV per atom: -3.167


The following is a DFT calculation (PBE) of BaNbIr after structural relaxation.

Lattice parameters (Å, degrees): 4.700 4.700 4.700 60.00 60.00 60.00
Atoms (fractional coordinates):
Ba1 0.000 0.000 0.000
Ir1 0.250 0.250 0.250
Nb1 0.750 0.750 0.750

Computed properties:
Crystal system: cubic
Total magnetic moment, Bohr magnetons per cell: 0.1
Theoretical density, g cm⁻³: 9.6
Electronic total energy, eV per atom: -5.155
Energy above the most stable polymorph in this dataset, meV/atom: 998